No. 1
Material: Li2MnHg
Method: DFT, GGA-PBE
State: relaxed

Unit cell a=7.2928 b=7.2928 c=5.4551 alpha=90.00 beta=90.00 gamma=90.00
Last column: nearest neighbours and their distance in Å.
Space group I-42d (No. 122)
One atom of each set of equivalent atoms:
Li 0.2451 0.2500 0.1250 x8  2 Hg 2.64, 2 Mn 2.69, 2 Li 2.73
Mn 0.0000 0.0000 0.5000 x4  4 Li 2.69, 2 Hg 2.73
Hg 0.0000 0.0000 0.0000 x4  4 Li 2.64, 2 Mn 2.73

- E (eV per atom) = -3.097
- ΔH_f (0 K) (kJ/mol of atoms) = 22.0
- theoretical density (g cm⁻³) = 6.168
- DOS(E_F) (states/eV per cell) = 10.18

***

No. 2
Material: AcCd3Au3
Method: DFT, GGA-PBE
State: relaxed

Unit cell a=9.1792 b=4.6025 c=9.1841 alpha=90.00 beta=119.96 gamma=90.00
Last column: nearest neighbours and their distance in Å.
Space group P2_1/m (No. 11)
One atom of each set of equivalent atoms:
Ac 0.1667 0.2500 0.3332 x2  9 Au 3.22-3.26
Cd 0.2559 0.2500 0.9737 x2  3 Au 2.86-2.93, 4 Cd 3.14
Cd 0.2818 0.7500 0.7559 x2  3 Au 2.86-2.93, 4 Cd 3.14
Cd 0.4740 0.7500 0.2181 x2  3 Au 2.86-2.93, 4 Cd 3.14
Au 0.0553 0.2500 0.6154 x2  3 Cd 2.86-2.93, 2 Au 2.94
Au 0.1155 0.7500 0.0599 x2  3 Cd 2.86-2.93, 2 Au 2.94
Au 0.4399 0.7500 0.5553 x2  3 Cd 2.86-2.93, 2 Au 2.94

- E (eV per atom) = -2.800
- ΔH_f (0 K) (kJ/mol of atoms) = -40.2
- theoretical density (g cm⁻³) = 11.413
- DOS(E_F) (states/eV per cell) = 5.81
- excess energy over the best structure of this formula in the dataset (eV/atom) = 0.0000

***

No. 3
Material: HfSiSb2Os
Method: DFT, GGA-PBE
State: relaxed

Unit cell a=5.4119 b=5.4119 c=4.9568 alpha=90.00 beta=90.00 gamma=90.00
Last column: nearest neighbours and their distance in Å.
Space group P4/mmm (No. 123)
One atom of each set of equivalent atoms:
Hf 0.0000 0.0000 0.0000 x1  2 Si 2.48, 4 Sb 2.71
Si 0.0000 0.0000 0.5000 x1  2 Hf 2.48
Sb 0.0000 0.5000 0.0000 x2  2 Hf 2.71
Os 0.5000 0.5000 0.5000 x1  8 Sb 3.67, 4 Si 3.83

- E (eV per atom) = -5.398
- theoretical density (g cm⁻³) = 7.324
- formation energy from raw total energies (eV per atom) = 1.573
- DOS(E_F) (states/eV per cell) = 11.44